DFT (PBE) results for YTa after structural relaxation.

Formation energy, eV/f.u.: 1.06
Symmetry: No. 166
Energy relative to the lowest polymorph listed for this composition, meV/atom: 347

```
YTa
1.0
1.584 0.915 5.328
-1.584 0.915 5.328
0.000 -1.829 5.328
Y Ta
1 1
direct
0.000 0.000 0.000 Y
0.500 0.500 0.500 Ta
```



DFT (PBE) results for YTa after structural relaxation.

Formation energy, eV/f.u.: 3.13
Symmetry: No. 225
Energy relative to the lowest polymorph listed for this composition, meV/atom: 1385

```
YTa
1.0
0.000 2.976 2.976
2.976 0.000 2.976
2.976 2.976 0.000
Y Ta
1 1
direct
0.000 0.000 0.000 Y
0.500 0.500 0.500 Ta
```



DFT (PBE) results for YTa after structural relaxation.

Formation energy, eV/f.u.: 1.07
Symmetry: No. 70
Energy relative to the lowest polymorph listed for this composition, meV/atom: 353

```
YTa
1.0
0.000 4.617 7.682
2.865 0.000 7.682
2.865 4.617 0.000
Y Ta
4 4
direct
0.044 0.706 0.044 Y
0.294 0.956 0.294 Y
0.706 0.044 0.706 Y
0.956 0.294 0.956 Y
0.296 0.296 0.454 Ta
0.454 0.454 0.296 Ta
0.546 0.546 0.704 Ta
0.704 0.704 0.546 Ta
```



DFT (PBE) results for YTa3 after structural relaxation.

Formation energy, eV/f.u.: 1.89
Symmetry: No. 123
Energy relative to the lowest polymorph listed for this composition, meV/atom: 227

```
YTa3
1.0
4.930 0.000 0.000
0.000 4.930 0.000
0.000 0.000 3.338
Y Ta
1 3
direct
0.000 0.000 0.000 Y
0.000 0.500 0.500 Ta
0.500 0.000 0.500 Ta
0.500 0.500 0.000 Ta
```



DFT (PBE) results for Y3Ta2 after structural relaxation.

Formation energy, eV/f.u.: 2.87
Symmetry: No. 164
Energy relative to the lowest polymorph listed for this composition, meV/atom: 103

```
Y3Ta2
1.0
4.982 0.000 0.000
-2.491 4.314 0.000
0.000 0.000 6.525
Y Ta
3 2
direct
0.000 0.000 0.000 Y
0.333 0.667 0.355 Y
0.667 0.333 0.645 Y
0.333 0.667 0.908 Ta
0.667 0.333 0.092 Ta
```



DFT (PBE) results for Y5Ta after structural relaxation.

Formation energy, eV/f.u.: 5.41
Symmetry: No. 191
Energy relative to the lowest polymorph listed for this composition, meV/atom: 700

```
Y5Ta
1.0
6.111 0.000 0.000
-3.055 5.292 0.000
0.000 0.000 5.805
Y Ta
5 1
direct
0.000 0.500 0.000 Y
0.333 0.667 0.500 Y
0.500 0.000 0.000 Y
0.500 0.500 0.000 Y
0.667 0.333 0.500 Y
0.000 0.000 0.500 Ta
```



DFT (PBE) results for Y2Ta after structural relaxation.

Formation energy, eV/f.u.: 1.10
Symmetry: No. 63
Energy relative to the lowest polymorph listed for this composition, meV/atom: 159

```
Y2Ta
1.0
1.637 -9.101 0.000
1.637 9.101 0.000
0.000 0.000 5.252
Y Ta
4 2
direct
0.062 0.938 0.750 Y
0.371 0.629 0.750 Y
0.629 0.371 0.250 Y
0.938 0.062 0.250 Y
0.273 0.727 0.250 Ta
0.727 0.273 0.750 Ta
```



DFT (PBE) results for Y5Ta after structural relaxation.

Formation energy, eV/f.u.: 1.21
Symmetry: No. 8
Energy relative to the lowest polymorph listed for this composition, meV/atom: 0

```
Y5Ta
1.0
6.941 -1.737 0.000
6.941 1.737 0.000
-2.148 0.000 7.400
Y Ta
5 1
direct
0.000 0.000 0.000 Y
0.026 0.026 0.595 Y
0.299 0.299 0.718 Y
0.339 0.339 0.201 Y
0.659 0.659 0.331 Y
0.672 0.672 0.928 Ta
```



DFT (PBE) results for YTa3 after structural relaxation.

Formation energy, eV/f.u.: 1.41
Symmetry: No. 59
Energy relative to the lowest polymorph listed for this composition, meV/atom: 108

```
YTa3
1.0
4.858 0.000 0.000
0.000 5.965 0.000
0.000 0.000 6.042
Y Ta
2 6
direct
0.250 0.250 0.102 Y
0.750 0.750 0.898 Y
0.250 0.009 0.629 Ta
0.250 0.491 0.629 Ta
0.250 0.750 0.242 Ta
0.750 0.250 0.758 Ta
0.750 0.509 0.371 Ta
0.750 0.991 0.371 Ta
```



DFT (PBE) results for YTa after structural relaxation.

Formation energy, eV/f.u.: 1.48
Symmetry: No. 198
Energy relative to the lowest polymorph listed for this composition, meV/atom: 560

```
YTa
1.0
5.759 0.000 0.000
0.000 5.759 0.000
0.000 0.000 5.759
Y Ta
4 4
direct
0.098 0.098 0.098 Y
0.402 0.902 0.598 Y
0.598 0.402 0.902 Y
0.902 0.598 0.402 Y
0.103 0.603 0.897 Ta
0.397 0.397 0.397 Ta
0.603 0.897 0.103 Ta
0.897 0.103 0.603 Ta
```



DFT (PBE) results for YTa3 after structural relaxation.

Formation energy, eV/f.u.: 1.67
Symmetry: No. 12
Energy relative to the lowest polymorph listed for this composition, meV/atom: 173

```
YTa3
1.0
4.884 -1.447 0.000
4.884 1.447 0.000
-0.235 0.000 5.903
Y Ta
1 3
direct
0.000 0.000 0.000 Y
0.245 0.245 0.719 Ta
0.500 0.500 0.500 Ta
0.755 0.755 0.281 Ta
```



DFT (PBE) results for YTa3 after structural relaxation.

Formation energy, eV/f.u.: 1.63
Symmetry: No. 71
Energy relative to the lowest polymorph listed for this composition, meV/atom: 164

```
YTa3
1.0
-1.690 2.518 4.854
1.690 -2.518 4.854
1.690 2.518 -4.854
Y Ta
1 3
direct
0.000 0.000 0.000 Y
0.269 0.769 0.500 Ta
0.500 0.500 0.000 Ta
0.731 0.231 0.500 Ta
```



DFT (PBE) results for Y2Ta after structural relaxation.

Formation energy, eV/f.u.: 0.97
Symmetry: No. 140
Energy relative to the lowest polymorph listed for this composition, meV/atom: 118

```
Y2Ta
1.0
-3.808 3.808 2.854
3.808 -3.808 2.854
3.808 3.808 -2.854
Y Ta
4 2
direct
0.163 0.663 0.827 Y
0.337 0.163 0.500 Y
0.663 0.837 0.500 Y
0.837 0.337 0.173 Y
0.250 0.250 0.000 Ta
0.750 0.750 0.000 Ta
```



DFT (PBE) results for Y5Ta after structural relaxation.

Formation energy, eV/f.u.: 4.16
Symmetry: No. 216
Energy relative to the lowest polymorph listed for this composition, meV/atom: 492

```
Y5Ta
1.0
0.000 4.473 4.473
4.473 0.000 4.473
4.473 4.473 0.000
Y Ta
5 1
direct
0.000 0.000 0.000 Y
0.129 0.624 0.624 Y
0.624 0.129 0.624 Y
0.624 0.624 0.129 Y
0.624 0.624 0.624 Y
0.250 0.250 0.250 Ta
```